No. 1
Here is a geometry-optimized TaCl structure from the Alexandria database. Energies are from PBE.

Calculated values
Formation energy (no corrections) = -681 meV per atom

Cell and atoms, written as CIF:
```
data_TaCl
_chemical_formula_sum 'Ta2 Cl2'
_symmetry_space_group_name_H-M 'P -3 m 1'
_symmetry_Int_Tables_number 164
_symmetry_space_group_name_Hall '-P 3 2"'
_cell_length_a 3.1281
_cell_length_b 3.1281
_cell_length_c 9.7852
_cell_angle_alpha 90.00
_cell_angle_beta 90.00
_cell_angle_gamma 120.00
loop_
_atom_site_label
_atom_site_type_symbol
_atom_site_fract_x
_atom_site_fract_y
_atom_site_fract_z
Ta1 Ta 0.3333 0.6667 0.1251
Cl1 Cl 0.3333 0.6667 0.6976
```



No. 2
Here is a geometry-optimized LiDyZrIn structure from the Alexandria database. Energies are from PBE.

Calculated values
DFT formation energy = -0.12 eV/atom

Cell and atoms, written as CIF:
```
data_LiDyZrIn
_chemical_formula_sum 'Li4 Dy4 Zr4 In4'
_symmetry_space_group_name_H-M 'F -4 3 m'
_symmetry_Int_Tables_number 216
_symmetry_space_group_name_Hall 'F -4 2 3'
_cell_length_a 7.186
_cell_length_b 7.186
_cell_length_c 7.186
_cell_angle_alpha 90.00
_cell_angle_beta 90.00
_cell_angle_gamma 90.00
loop_
_atom_site_label
_atom_site_type_symbol
_atom_site_fract_x
_atom_site_fract_y
_atom_site_fract_z
Li1 Li 0.000 0.000 0.000
Dy1 Dy 0.250 0.250 0.250
Zr1 Zr 0.250 0.250 0.750
In1 In 0.000 0.000 0.500
```



No. 3
Here is a geometry-optimized YTeRu2Pt structure from the Alexandria database. Energies are from PBE.

Calculated values
Formation energy (no corrections) = 504 meV per atom

Cell and atoms, written as CIF:
```
data_YTeRu2Pt
_chemical_formula_sum 'Y1 Te1 Ru2 Pt1'
_symmetry_space_group_name_H-M 'P 4/m m m'
_symmetry_Int_Tables_number 123
_symmetry_space_group_name_Hall '-P 4 2'
_cell_length_a 4.804
_cell_length_b 4.804
_cell_length_c 4.966
_cell_angle_alpha 90.00
_cell_angle_beta 90.00
_cell_angle_gamma 90.00
loop_
_atom_site_label
_atom_site_type_symbol
_atom_site_fract_x
_atom_site_fract_y
_atom_site_fract_z
Y1 Y 0.000 0.000 0.000
Te1 Te 0.500 0.500 0.500
Ru1 Ru 0.000 0.500 0.500
Pt1 Pt 0.500 0.500 0.000
```



No. 4
Here is a geometry-optimized K5Cd4Sn2 structure from the Alexandria database. Energies are from PBE.

Calculated values
DFT formation energy = -0.01 eV/atom

Cell and atoms, written as CIF:
```
data_K5Cd4Sn2
_chemical_formula_sum 'K10 Cd8 Sn4'
_symmetry_space_group_name_H-M 'C 1 2/m 1'
_symmetry_Int_Tables_number 12
_symmetry_space_group_name_Hall '-C 2y'
_cell_length_a 12.742
_cell_length_b 6.532
_cell_length_c 11.109
_cell_angle_alpha 90.00
_cell_angle_beta 119.34
_cell_angle_gamma 90.00
loop_
_atom_site_label
_atom_site_type_symbol
_atom_site_fract_x
_atom_site_fract_y
_atom_site_fract_z
K1 K 0.000 0.000 0.000
K2 K 0.070 0.250 0.371
Cd1 Cd 0.196 0.500 0.970
Cd2 Cd 0.209 0.500 0.713
Sn1 Sn 0.228 0.000 0.740
```



No. 5
Here is a geometry-optimized MgCu2 structure from the Alexandria database. Energies are from PBE.

Calculated values
DFT formation energy = 0.23 eV/atom

Cell and atoms, written as CIF:
```
data_MgCu2
_chemical_formula_sum 'Mg2 Cu4'
_symmetry_space_group_name_H-M 'A m m 2'
_symmetry_Int_Tables_number 38
_symmetry_space_group_name_Hall 'A 2 -2'
_cell_length_a 6.818
_cell_length_b 2.750
_cell_length_c 4.780
_cell_angle_alpha 90.00
_cell_angle_beta 90.00
_cell_angle_gamma 90.00
loop_
_atom_site_label
_atom_site_type_symbol
_atom_site_fract_x
_atom_site_fract_y
_atom_site_fract_z
Mg1 Mg 0.000 0.000 0.000
Cu1 Cu 0.323 0.000 0.331
```



No. 6
Here is a geometry-optimized SmCrN3 structure from the Alexandria database. Energies are from PBE.

Calculated values
Formation energy (no corrections) = -804 meV per atom

Cell and atoms, written as CIF:
```
data_SmCrN3
_chemical_formula_sum 'Sm8 Cr8 N24'
_symmetry_space_group_name_H-M 'C 1 2/c 1'
_symmetry_Int_Tables_number 15
_symmetry_space_group_name_Hall '-C 2yc'
_cell_length_a 10.277
_cell_length_b 9.727
_cell_length_c 5.928
_cell_angle_alpha 90.00
_cell_angle_beta 107.42
_cell_angle_gamma 90.00
loop_
_atom_site_label
_atom_site_type_symbol
_atom_site_fract_x
_atom_site_fract_y
_atom_site_fract_z
Sm1 Sm 0.000 0.094 0.250
Sm2 Sm 0.000 0.334 0.750
Cr1 Cr 0.212 0.412 0.253
N1 N 0.116 0.114 0.660
N2 N 0.134 0.266 0.152
N3 N 0.152 0.475 0.502
```



No. 7
Here is a geometry-optimized LaPrYTe3 structure from the Alexandria database. Energies are from PBE.

Calculated values
Formation energy (no corrections) = -1317 meV per atom

Cell and atoms, written as CIF:
```
data_LaPrYTe3
_chemical_formula_sum 'La2 Pr2 Y2 Te6'
_symmetry_space_group_name_H-M 'P 1 21/m 1'
_symmetry_Int_Tables_number 11
_symmetry_space_group_name_Hall '-P 2yb'
_cell_length_a 8.707
_cell_length_b 4.508
_cell_length_c 10.740
_cell_angle_alpha 90.00
_cell_angle_beta 108.70
_cell_angle_gamma 90.00
loop_
_atom_site_label
_atom_site_type_symbol
_atom_site_fract_x
_atom_site_fract_y
_atom_site_fract_z
La1 La 0.179 0.250 0.226
Pr1 Pr 0.358 0.750 0.888
Y1 Y 0.147 0.250 0.621
Te1 Te 0.100 0.250 0.897
Te2 Te 0.230 0.750 0.466
Te3 Te 0.456 0.750 0.213
```



No. 8
Here is a geometry-optimized YCdP structure from the Alexandria database. Energies are from PBE.

Calculated values
Relative energy among the computed polymorphs = 0.283 eV per atom
DFT formation energy = -0.47 eV/atom

Cell and atoms, written as CIF:
```
data_YCdP
_chemical_formula_sum 'Y2 Cd2 P2'
_symmetry_space_group_name_H-M 'I 4 m m'
_symmetry_Int_Tables_number 107
_symmetry_space_group_name_Hall 'I 4 -2'
_cell_length_a 3.616
_cell_length_b 3.616
_cell_length_c 11.189
_cell_angle_alpha 90.00
_cell_angle_beta 90.00
_cell_angle_gamma 90.00
loop_
_atom_site_label
_atom_site_type_symbol
_atom_site_fract_x
_atom_site_fract_y
_atom_site_fract_z
Y1 Y 0.000 0.000 0.000
Cd1 Cd 0.000 0.000 0.285
P1 P 0.000 0.000 0.600
```



| no. | calculated volume (Å³ per atom) |
| --- | --- |
| 1 | 20.7 |
| 2 | 23.2 |
| 3 | 22.9 |
| 4 | 36.6 |
| 5 | 14.9 |
| 6 | 14.1 |
| 7 | 33.3 |
| 8 | 24.4 |